MnBeP2 | PBE | optimized geometry

The structure in extended XYZ format:
```
8
Lattice="7.2003 0.0000 0.0000 0.0000 2.8914 0.0000 -0.4222 0.0000 4.3275" Properties=species:S:1:pos:R:3 pbc="T T T"
Mn 0.0000 0.0000 0.0000
Mn 3.6001 1.4457 0.0000
Be -0.2111 1.4457 2.1637
Be 3.3891 0.0000 2.1637
P 1.5457 1.4457 1.0021
P 1.6323 0.0000 3.3254
P 5.1459 0.0000 1.0021
P 5.2324 1.4457 3.3254
```

Properties
E_tot (eV per atom): -5.979
ρ (Mg/m³): 4.6